one.
HoPu2S4: optimized geometry, PBE. Values from VASP.

Structure (Quantum ESPRESSO input):
```
&SYSTEM
  ibrav = 0, nat = 14, ntyp = 3
/
ATOMIC_SPECIES
Ho 164.93 Ho.upf
Pu 244.00 Pu.upf
S 32.06 S.upf
ATOMIC_POSITIONS angstrom
Ho 0.000 0.000 0.000
Ho 3.528 5.667 0.000
Pu 0.688 3.586 2.034
Pu 2.839 9.253 2.034
Pu 4.216 2.081 2.034
Pu 6.367 7.747 2.034
S 0.925 8.839 0.000
S 1.761 0.552 2.034
S 1.767 6.219 2.034
S 2.602 3.172 0.000
S 4.453 8.161 0.000
S 5.288 5.115 2.034
S 5.295 10.781 2.034
S 6.130 2.494 0.000
CELL_PARAMETERS angstrom
7.055 0.000 0.000
0.000 11.333 0.000
0.000 0.000 4.068
```

Results
total moment: 22.0 μB per cell


two.
HoPu2S4: optimized geometry, PBE. Values from VASP.

Structure (Quantum ESPRESSO input):
```
&SYSTEM
  ibrav = 0, nat = 14, ntyp = 3
/
ATOMIC_SPECIES
Ho 164.93 Ho.upf
Pu 244.00 Pu.upf
S 32.06 S.upf
ATOMIC_POSITIONS angstrom
Ho 1.918 4.928 9.856
Ho 1.918 -4.928 3.285
Pu 1.918 1.727 7.483
Pu 1.918 1.727 12.229
Pu 1.918 -1.727 0.913
Pu 1.918 -1.727 5.658
S 0.000 0.000 0.000
S 0.000 0.000 6.571
S 1.918 2.905 1.641
S 1.918 2.905 4.929
S 1.918 0.334 9.856
S 1.918 -0.334 3.285
S 1.918 -2.905 8.212
S 1.918 -2.905 11.500
CELL_PARAMETERS angstrom
1.918 -6.524 0.000
1.918 6.524 0.000
0.000 0.000 13.141
```

Results
total moment: 21.9 μB per cell


Result of the stability comparison: one is the most stable of them.


one.
HoPu3S4: optimized geometry, PBE. Values from VASP.

Structure (Quantum ESPRESSO input):
```
&SYSTEM
  ibrav = 0, nat = 8, ntyp = 3
/
ATOMIC_SPECIES
Ho 164.93 Ho.upf
Pu 244.00 Pu.upf
S 32.06 S.upf
ATOMIC_POSITIONS angstrom
Ho 0.000 0.000 0.000
Pu 1.966 2.791 1.969
Pu 1.966 -2.791 1.969
Pu 3.932 0.000 0.000
S 1.939 0.000 1.969
S 3.932 2.823 0.000
S 3.932 -2.823 0.000
S 5.925 0.000 1.969
CELL_PARAMETERS angstrom
3.932 -5.583 0.000
3.932 5.583 0.000
0.000 0.000 3.937
```

Results
total moment: 5.5 μB per cell


two.
HoPu3S4: optimized geometry, PBE. Values from VASP.

Structure (Quantum ESPRESSO input):
```
&SYSTEM
  ibrav = 0, nat = 8, ntyp = 3
/
ATOMIC_SPECIES
Ho 164.93 Ho.upf
Pu 244.00 Pu.upf
S 32.06 S.upf
ATOMIC_POSITIONS angstrom
Ho 0.000 0.000 0.000
Pu 0.000 2.787 2.787
Pu 2.787 0.000 2.787
Pu 2.787 2.787 0.000
S 0.000 0.000 2.787
S 0.000 2.787 0.000
S 2.787 0.000 0.000
S 2.787 2.787 2.787
CELL_PARAMETERS angstrom
5.573 0.000 0.000
0.000 5.573 0.000
0.000 0.000 5.573
```

Results
total moment: 16.9 μB per cell


Result of the stability comparison: two is the most stable of them.


one.
Ho2PuSb: optimized geometry, PBE. Values from VASP.

Structure (Quantum ESPRESSO input):
```
&SYSTEM
  ibrav = 0, nat = 4, ntyp = 3
/
ATOMIC_SPECIES
Ho 164.93 Ho.upf
Pu 244.00 Pu.upf
Sb 121.76 Sb.upf
ATOMIC_POSITIONS angstrom
Ho 0.000 0.000 7.786
Ho 0.000 0.000 23.960
Pu 0.000 0.000 0.000
Sb 0.000 0.000 15.873
CELL_PARAMETERS angstrom
1.767 1.020 10.582
-1.767 1.020 10.582
0.000 -2.040 10.582
```

Results
total moment: 6.1 μB per cell


two.
Ho2PuSb: optimized geometry, PBE. Values from VASP.

Structure (Quantum ESPRESSO input):
```
&SYSTEM
  ibrav = 0, nat = 4, ntyp = 3
/
ATOMIC_SPECIES
Ho 164.93 Ho.upf
Pu 244.00 Pu.upf
Sb 121.76 Sb.upf
ATOMIC_POSITIONS angstrom
Ho 0.000 2.417 0.000
Ho 2.417 0.000 0.000
Pu 0.000 0.000 2.283
Sb 2.417 2.417 2.283
CELL_PARAMETERS angstrom
4.834 0.000 0.000
0.000 4.834 0.000
0.000 0.000 4.565
```

Results
total moment: 6.5 μB per cell


Result of the stability comparison: two is the most stable of them.


one.
HoPuSc2: optimized geometry, PBE. Values from VASP.

Structure (Quantum ESPRESSO input):
```
&SYSTEM
  ibrav = 0, nat = 4, ntyp = 3
/
ATOMIC_SPECIES
Ho 164.93 Ho.upf
Pu 244.00 Pu.upf
Sc 44.96 Sc.upf
ATOMIC_POSITIONS angstrom
Ho 0.000 0.000 0.000
Pu 3.758 3.758 3.758
Sc 1.879 1.879 1.879
Sc 5.638 5.638 5.638
CELL_PARAMETERS angstrom
0.000 3.758 3.758
3.758 0.000 3.758
3.758 3.758 0.000
```

Results
total moment: 5.7 μB per cell


two.
HoPuSc2: optimized geometry, PBE. Values from VASP.

Structure (Quantum ESPRESSO input):
```
&SYSTEM
  ibrav = 0, nat = 4, ntyp = 3
/
ATOMIC_SPECIES
Ho 164.93 Ho.upf
Pu 244.00 Pu.upf
Sc 44.96 Sc.upf
ATOMIC_POSITIONS angstrom
Ho 0.000 0.000 0.000
Pu 0.000 0.000 26.934
Sc 0.000 0.000 8.026
Sc 0.000 0.000 13.527
CELL_PARAMETERS angstrom
1.681 0.970 10.763
-1.681 0.970 10.763
0.000 -1.941 10.763
```

Results
total moment: 5.4 μB per cell


three.
HoPuSc2: optimized geometry, PBE. Values from VASP.

Structure (Quantum ESPRESSO input):
```
&SYSTEM
  ibrav = 0, nat = 4, ntyp = 3
/
ATOMIC_SPECIES
Ho 164.93 Ho.upf
Pu 244.00 Pu.upf
Sc 44.96 Sc.upf
ATOMIC_POSITIONS angstrom
Ho 0.000 0.000 0.000
Pu 0.000 0.000 17.396
Sc 0.000 0.000 14.327
Sc 0.000 0.000 20.466
CELL_PARAMETERS angstrom
1.641 0.948 11.598
-1.641 0.948 11.598
0.000 -1.895 11.598
```

Results
total moment: 6.1 μB per cell


Result of the stability comparison: two is the most stable of them.


one.
HoPuSc2: optimized geometry, PBE. Values from VASP.

Structure (Quantum ESPRESSO input):
```
&SYSTEM
  ibrav = 0, nat = 4, ntyp = 3
/
ATOMIC_SPECIES
Ho 164.93 Ho.upf
Pu 244.00 Pu.upf
Sc 44.96 Sc.upf
ATOMIC_POSITIONS angstrom
Ho 0.000 0.000 0.000
Pu 2.676 2.676 0.000
Sc 0.000 2.676 1.845
Sc 2.676 0.000 1.845
CELL_PARAMETERS angstrom
5.352 0.000 0.000
0.000 5.352 0.000
0.000 0.000 3.690
```

Results
total moment: 6.1 μB per cell


two.
HoPuSc2: optimized geometry, PBE. Values from VASP.

Structure (Quantum ESPRESSO input):
```
&SYSTEM
  ibrav = 0, nat = 8, ntyp = 3
/
ATOMIC_SPECIES
Ho 164.93 Ho.upf
Pu 244.00 Pu.upf
Sc 44.96 Sc.upf
ATOMIC_POSITIONS angstrom
Ho 1.662 0.000 0.005
Ho 4.980 0.000 6.701
Pu 1.656 0.000 3.356
Pu 4.986 0.000 3.350
Sc -0.001 2.366 1.737
Sc 6.643 2.366 4.969
Sc 3.325 2.366 1.738
Sc 3.317 2.366 4.968
CELL_PARAMETERS angstrom
6.649 0.000 0.000
0.000 4.732 0.000
-0.007 0.000 6.706
```

Results
total moment: 12.8 μB per cell


three.
HoPuSc2: optimized geometry, PBE. Values from VASP.

Structure (Quantum ESPRESSO input):
```
&SYSTEM
  ibrav = 0, nat = 4, ntyp = 3
/
ATOMIC_SPECIES
Ho 164.93 Ho.upf
Pu 244.00 Pu.upf
Sc 44.96 Sc.upf
ATOMIC_POSITIONS angstrom
Ho 0.000 0.000 0.000
Pu 0.000 0.000 4.646
Sc 1.683 1.683 2.410
Sc 1.683 1.683 6.882
CELL_PARAMETERS angstrom
3.367 0.000 0.000
0.000 3.367 0.000
0.000 0.000 9.292
```

Results
total moment: 6.1 μB per cell


Result of the stability comparison: two is the most stable of them.


one.
HoPuSc3: optimized geometry, PBE. Values from VASP.

Structure (Quantum ESPRESSO input):
```
&SYSTEM
  ibrav = 0, nat = 10, ntyp = 3
/
ATOMIC_SPECIES
Ho 164.93 Ho.upf
Pu 244.00 Pu.upf
Sc 44.96 Sc.upf
ATOMIC_POSITIONS angstrom
Ho 0.000 1.627 0.370
Ho 2.732 1.627 7.174
Pu 2.732 -1.627 4.568
Pu 0.000 4.880 2.975
Sc 2.732 -0.086 1.504
Sc 2.732 3.167 -1.504
Sc -1.366 1.627 3.772
Sc 1.366 1.627 3.772
Sc 0.000 0.086 9.047
Sc 0.000 3.340 6.039
CELL_PARAMETERS angstrom
-2.732 3.253 7.543
2.732 -3.253 7.543
2.732 3.253 -7.543
```

Results
total moment: 14.3 μB per cell


two.
HoPuSc3: optimized geometry, PBE. Values from VASP.

Structure (Quantum ESPRESSO input):
```
&SYSTEM
  ibrav = 0, nat = 10, ntyp = 3
/
ATOMIC_SPECIES
Ho 164.93 Ho.upf
Pu 244.00 Pu.upf
Sc 44.96 Sc.upf
ATOMIC_POSITIONS angstrom
Ho 0.000 0.000 1.767
Ho 0.000 0.000 21.456
Pu 0.000 0.000 7.755
Pu 0.000 0.000 15.468
Sc -1.621 -0.936 10.423
Sc 0.000 -1.872 12.800
Sc -1.621 0.936 12.800
Sc 1.621 -0.936 10.423
Sc 0.000 1.872 10.423
Sc 1.621 0.936 12.800
CELL_PARAMETERS angstrom
3.185 1.839 7.741
-3.185 1.839 7.741
0.000 -3.677 7.741
```

Results
total moment: 14.2 μB per cell


Result of the stability comparison: one is the most stable of them.


one.
HoPu2Sc6: optimized geometry, PBE. Values from VASP.

Structure (Quantum ESPRESSO input):
```
&SYSTEM
  ibrav = 0, nat = 18, ntyp = 3
/
ATOMIC_SPECIES
Ho 164.93 Ho.upf
Pu 244.00 Pu.upf
Sc 44.96 Sc.upf
ATOMIC_POSITIONS angstrom
Ho 2.354 3.651 5.088
Ho 4.887 -3.651 1.696
Pu 1.021 1.039 3.873
Pu 3.554 -1.039 0.481
Pu 3.687 1.039 6.304
Pu 6.220 -1.039 2.911
Sc -2.210 1.027 4.692
Sc 2.133 1.691 0.971
Sc 0.323 -1.027 1.299
Sc 5.445 1.396 0.213
Sc -0.400 -1.691 4.363
Sc 4.329 1.396 3.179
Sc 2.912 -1.396 3.605
Sc 7.641 1.691 2.421
Sc 1.796 -1.396 6.571
Sc 6.918 1.027 5.485
Sc 5.108 -1.691 5.813
Sc 9.451 -1.027 2.093
CELL_PARAMETERS angstrom
6.153 -5.467 0.000
6.153 5.467 0.000
-5.066 0.000 6.784
```

Results
total moment: 24.6 μB per cell


two.
HoPu2Sc6: optimized geometry, PBE. Values from VASP.

Structure (Quantum ESPRESSO input):
```
&SYSTEM
  ibrav = 0, nat = 9, ntyp = 3
/
ATOMIC_SPECIES
Ho 164.93 Ho.upf
Pu 244.00 Pu.upf
Sc 44.96 Sc.upf
ATOMIC_POSITIONS angstrom
Ho 0.000 0.000 0.000
Pu 0.000 3.163 5.236
Pu 2.739 1.581 5.236
Sc -0.920 1.593 2.639
Sc -1.819 3.151 7.833
Sc 1.840 0.000 2.639
Sc 0.920 1.593 7.833
Sc 3.638 0.000 7.833
Sc 1.819 3.151 2.639
CELL_PARAMETERS angstrom
5.478 0.000 0.000
-2.739 4.744 0.000
0.000 0.000 10.471
```

Results
total moment: 13.3 μB per cell


Result of the stability comparison: one is the most stable of them.


one.
Ho2PuSe3: optimized geometry, PBE. Values from VASP.

Structure (Quantum ESPRESSO input):
```
&SYSTEM
  ibrav = 0, nat = 6, ntyp = 3
/
ATOMIC_SPECIES
Ho 164.93 Ho.upf
Pu 244.00 Pu.upf
Se 78.96 Se.upf
ATOMIC_POSITIONS angstrom
Ho 2.855 4.870 0.000
Ho 2.855 -4.870 0.000
Pu 2.855 0.000 2.067
Se 0.000 0.000 2.067
Se 2.855 2.079 0.000
Se 2.855 -2.079 0.000
CELL_PARAMETERS angstrom
2.855 -6.817 0.000
2.855 6.817 0.000
0.000 0.000 4.134
```

Results
total moment: 5.9 μB per cell


two.
Ho2PuSe3: optimized geometry, PBE. Values from VASP.

Structure (Quantum ESPRESSO input):
```
&SYSTEM
  ibrav = 0, nat = 6, ntyp = 3
/
ATOMIC_SPECIES
Ho 164.93 Ho.upf
Pu 244.00 Pu.upf
Se 78.96 Se.upf
ATOMIC_POSITIONS angstrom
Ho 0.000 0.000 2.044
Ho 0.000 0.000 10.248
Pu 0.000 0.000 6.146
Se 2.035 0.000 0.000
Se 2.035 0.000 4.055
Se 0.000 2.884 2.091
CELL_PARAMETERS angstrom
-2.035 2.884 6.146
2.035 -2.884 6.146
2.035 2.884 -6.146
```

Results
total moment: 6.0 μB per cell


Result of the stability comparison: two is the most stable of them.


one.
HoPuSe2: optimized geometry, PBE. Values from VASP.

Structure (Quantum ESPRESSO input):
```
&SYSTEM
  ibrav = 0, nat = 4, ntyp = 3
/
ATOMIC_SPECIES
Ho 164.93 Ho.upf
Pu 244.00 Pu.upf
Se 78.96 Se.upf
ATOMIC_POSITIONS angstrom
Ho 0.000 0.000 0.000
Pu 0.000 0.000 3.803
Se 0.000 0.000 12.816
Se 0.000 0.000 16.401
CELL_PARAMETERS angstrom
1.980 1.143 7.268
-1.980 1.143 7.268
0.000 -2.286 7.268
```

Results
total moment: 5.5 μB per cell


two.
HoPuSe2: optimized geometry, PBE. Values from VASP.

Structure (Quantum ESPRESSO input):
```
&SYSTEM
  ibrav = 0, nat = 8, ntyp = 3
/
ATOMIC_SPECIES
Ho 164.93 Ho.upf
Pu 244.00 Pu.upf
Se 78.96 Se.upf
ATOMIC_POSITIONS angstrom
Ho 1.023 1.450 1.029
Ho 3.068 4.350 7.185
Pu 1.023 1.450 5.144
Pu 3.068 4.350 3.070
Se 1.023 4.350 0.977
Se 1.023 4.350 5.158
Se 3.068 1.450 3.056
Se 3.068 1.450 7.237
CELL_PARAMETERS angstrom
4.091 0.000 0.000
0.000 5.800 0.000
0.000 0.000 8.214
```

Results
total moment: 11.8 μB per cell


three.
HoPuSe2: optimized geometry, PBE. Values from VASP.

Structure (Quantum ESPRESSO input):
```
&SYSTEM
  ibrav = 0, nat = 8, ntyp = 3
/
ATOMIC_SPECIES
Ho 164.93 Ho.upf
Pu 244.00 Pu.upf
Se 78.96 Se.upf
ATOMIC_POSITIONS angstrom
Ho 0.000 0.000 0.000
Ho 0.000 0.000 7.026
Pu 0.000 2.321 3.513
Pu 2.010 1.160 10.539
Se 0.000 2.321 8.693
Se 0.000 2.321 12.385
Se 2.010 1.160 1.667
Se 2.010 1.160 5.359
CELL_PARAMETERS angstrom
4.020 0.000 0.000
-2.010 3.481 0.000
0.000 0.000 14.052
```

Results
total moment: 12.1 μB per cell


Result of the stability comparison: two is the most stable of them.


one.
HoPu2Si: optimized geometry, PBE. Values from VASP.

Structure (Quantum ESPRESSO input):
```
&SYSTEM
  ibrav = 0, nat = 4, ntyp = 3
/
ATOMIC_SPECIES
Ho 164.93 Ho.upf
Pu 244.00 Pu.upf
Si 28.09 Si.upf
ATOMIC_POSITIONS angstrom
Ho 0.000 0.000 0.000
Pu 0.000 0.000 7.168
Pu 0.000 0.000 23.280
Si 0.000 0.000 15.224
CELL_PARAMETERS angstrom
1.720 0.993 10.150
-1.720 0.993 10.150
0.000 -1.986 10.150
```

Results
total moment: 11.5 μB per cell


two.
HoPu2Si: optimized geometry, PBE. Values from VASP.

Structure (Quantum ESPRESSO input):
```
&SYSTEM
  ibrav = 0, nat = 4, ntyp = 3
/
ATOMIC_SPECIES
Ho 164.93 Ho.upf
Pu 244.00 Pu.upf
Si 28.09 Si.upf
ATOMIC_POSITIONS angstrom
Ho 0.000 0.000 0.000
Pu 0.000 2.171 2.423
Pu 2.171 0.000 2.423
Si 2.171 2.171 0.000
CELL_PARAMETERS angstrom
4.342 0.000 0.000
0.000 4.342 0.000
0.000 0.000 4.847
```

Results
total moment: 11.4 μB per cell


Result of the stability comparison: two is the most stable of them.


one.
HoPuSi4: optimized geometry, PBE. Values from VASP.

Structure (Quantum ESPRESSO input):
```
&SYSTEM
  ibrav = 0, nat = 6, ntyp = 3
/
ATOMIC_SPECIES
Ho 164.93 Ho.upf
Pu 244.00 Pu.upf
Si 28.09 Si.upf
ATOMIC_POSITIONS angstrom
Ho 0.000 0.000 0.000
Pu 0.000 0.000 3.883
Si 2.037 -1.166 1.959
Si 2.037 1.166 1.959
Si 0.000 2.342 1.925
Si 0.000 4.673 1.925
CELL_PARAMETERS angstrom
-2.037 3.507 3.883
2.037 -3.507 3.883
2.037 3.507 -3.883
```

Results
total moment: 5.4 μB per cell


two.
HoPuSi4: optimized geometry, PBE. Values from VASP.

Structure (Quantum ESPRESSO input):
```
&SYSTEM
  ibrav = 0, nat = 6, ntyp = 3
/
ATOMIC_SPECIES
Ho 164.93 Ho.upf
Pu 244.00 Pu.upf
Si 28.09 Si.upf
ATOMIC_POSITIONS angstrom
Ho 0.000 0.000 0.000
Pu 5.601 5.601 5.601
Si 2.801 2.801 2.801
Si 4.667 4.667 2.801
Si 4.667 2.801 4.667
Si 2.801 4.667 4.667
CELL_PARAMETERS angstrom
0.000 3.734 3.734
3.734 0.000 3.734
3.734 3.734 0.000
```

Results
total moment: 6.5 μB per cell


Result of the stability comparison: one is the most stable of them.